Record 1
Here is a geometry-optimized Li2HgAu structure from the Alexandria database. Energies are from PBE-GGA.

Calculated values
* polymorph energy (0 for the lowest one): 23.2 meV per atom
* energy relative to the elements: -0.430 eV/atom
* symmetry: No. 119

```
Li2HgAu
1.0
5.1332 0.0424 -0.0069
1.9832 4.7349 0.0069
-3.5525 -2.3971 2.8259
Au Hg Li
1 1 2
direct
0.5000 0.5000 0.0000
0.2499 0.7499 0.5000
0.0001 0.0001 0.0000
0.7500 0.2500 0.5000
```

---

Record 2
Here is a geometry-optimized BaY2F8 structure from the Alexandria database. Energies are from PBE-GGA.

Calculated values
* polymorph energy (0 for the lowest one): 76.6 meV per atom
* symmetry: No. 12

```
BaY2F8
1.0
4.5322 -0.1366 0.2960
0.1607 5.8393 2.4913
-0.2686 -0.0515 6.3447
Y Ba F
2 1 8
direct
0.4981 0.3226 0.3226
0.5019 0.6774 0.6774
0.0000 0.0000 0.0000
0.4819 0.6807 0.0471
0.5181 0.9529 0.3193
0.0063 0.2560 0.2560
0.9937 0.7440 0.7440
0.4819 0.0471 0.6807
0.5181 0.3193 0.9529
0.7546 0.4951 0.4951
0.2454 0.5049 0.5049
```

---

Record 3
Here is a geometry-optimized Rb2SrNbSe4 structure from the Alexandria database. Energies are from PBE-GGA.

Calculated values
* symmetry: No. 82

```
Rb2SrNbSe4
1.0
7.4249 0.0807 0.1236
-3.0907 6.7515 -0.1236
-3.0907 -2.8301 6.1309
Rb Sr Nb Se
2 1 1 4
direct
0.5000 0.7500 0.2500
0.0000 0.0000 0.0000
0.5000 0.2500 0.7500
0.0000 0.5000 0.5000
0.6250 0.4263 0.4600
0.0337 0.1988 0.5737
0.9663 0.5400 0.1651
0.3750 0.8349 0.8012
```

---

Record 4
Here is a geometry-optimized Pu2SiS5 structure from the Alexandria database. Energies are from PBE-GGA.

Calculated values
* symmetry: No. 63

```
Pu2SiS5
1.0
-2.9075 1.0574 4.0749
-3.8923 -1.3207 -5.6465
-0.2186 -11.9804 2.9530
Pu Si S
4 2 10
direct
0.8507 0.7015 0.4307
0.8507 0.7015 0.0693
0.1493 0.2985 0.5693
0.1493 0.2985 0.9307
0.8268 0.6536 0.7500
0.1732 0.3464 0.2500
0.9495 0.8990 0.8781
0.9495 0.8990 0.6219
0.2931 0.5861 0.3975
0.2931 0.5861 0.1025
0.7173 0.4347 0.2500
0.2827 0.5653 0.7500
0.7069 0.4139 0.6025
0.7069 0.4139 0.8975
0.0505 0.1010 0.1219
0.0505 0.1010 0.3781
```

---

Let's list E_tot in order: -2.28, -6.71, -4.57, -7.88 eV/atom.